Here is a relaxed Co4F crystal from the Alexandria database. Energies are from PBE with a Hubbard U.

Values from the calculation:
Magnetic moment in μB/f.u.: 8.17
Space-group type: Pm-3m
Crystal system: cubic
VASP energy in eV/atom: -3.94

Cell and atoms, written as extended XYZ:
```
5
Lattice="4.052 0.000 0.000 0.000 4.052 0.000 0.000 0.000 4.052" Properties=species:S:1:pos:R:3 pbc="T T T"
Co 0.000 0.000 0.000
Co 2.026 0.000 2.026
Co 0.000 2.026 2.026
Co 2.026 2.026 0.000
F 2.026 2.026 2.026
```